Entry from Alexandria: a geometry-optimized NiAsRu2 structure (PBE-GGA).

## Properties
Final energy (eV for the cell shown): -111.6

a = 6.0397 Å, b = 6.0397 Å, c = 6.0397 Å
α = 90.00°, β = 90.00°, γ = 90.00°
Last column: nearest neighbours and their distance in Å.
Space group F-43m (No. 216)
One atom of each set of equivalent atoms:
Ni (0.0000, 0.0000, 0.0000)  4 As 2.62, 4 Ru 2.62
As (0.2500, 0.2500, 0.2500)  4 Ru 2.62, 4 Ni 2.62
Ru (0.0000, 0.0000, 0.5000)  4 As 2.62, 4 Ru 2.62
Ru (0.2500, 0.2500, 0.7500)  4 Ru 2.62, 4 Ni 2.62

Entry from Alexandria: a geometry-optimized MnCr2Cl structure (PBE-GGA).

## Properties
Formation energy without anion corrections (eV/f.u.): 0.597
Polymorph energy (0 for the lowest one) (meV/atom): 53.9

a = 2.9555 Å, b = 3.0699 Å, c = 6.9782 Å
α = 90.00°, β = 90.00°, γ = 90.00°
Last column: nearest neighbours and their distance in Å.
Space group Pmmm (No. 47)
One atom of each set of equivalent atoms:
Mn (0.0000, 0.0000, 0.0000)  8 Cr 2.56
Cr (0.5000, 0.5000, 0.2045)  2 Cl 2.54, 4 Mn 2.56
Cl (0.0000, 0.5000, 0.5000)  4 Cr 2.54

Number 1: magnetic moment 0.00 μB per formula unit. Number 2: magnetic moment 3.72 μB per formula unit.